This record from Alexandria describes IrWNF2 after structural relaxation. The functional is GGA+U.

```
5
Lattice="4.543 0.000 0.000 0.000 4.543 0.000 0.000 0.000 3.685" Properties=species:S:1:pos:R:3 pbc="T T T"
Ir 0.000 0.000 0.000
W 2.272 2.272 1.843
N 0.000 0.000 1.843
F 0.000 2.272 0.000
F 2.272 0.000 0.000
```

## Properties
Magnetic moment: 4.14 μB/cell
Raw total energy: -5.2459 eV per atom